Record 1
Density functional theory data (PBE) for crystalline Cs4Rb2Zn2O5 at its relaxed geometry.

a = 7.117 Å, b = 7.117 Å, c = 7.072 Å
α = 91.11°, β = 91.11°, γ = 119.27°
Element x y z (fractional)
Cs  0.000  0.000  0.000
Cs  0.327  0.327  0.623
Cs  0.427  0.903  0.311
Cs  0.903  0.427  0.311
Rb  0.444  0.885  0.812
Rb  0.885  0.444  0.812
Zn  0.469  0.469  0.114
Zn  0.865  0.865  0.504
O  0.093  0.824  0.600
O  0.236  0.505  0.025
O  0.505  0.236  0.025
O  0.682  0.682  0.293
O  0.824  0.093  0.600

* volume: 312.2 Å³ per cell
* energy: -3.7144 eV per atom


Record 2
Density functional theory data (PBE) for crystalline Cs2Rb4Zn2O5 at its relaxed geometry.

a = 7.040 Å, b = 7.040 Å, c = 6.976 Å
α = 91.64°, β = 91.64°, γ = 118.89°
Element x y z (fractional)
Cs  0.241  0.759  0.000
Cs  0.759  0.241  0.000
Rb  0.214  0.787  0.504
Rb  0.347  0.347  0.680
Rb  0.640  0.640  0.332
Rb  0.787  0.214  0.504
Zn  0.204  0.204  0.182
Zn  0.808  0.808  0.801
O  0.048  0.048  0.945
O  0.166  0.433  0.292
O  0.433  0.166  0.292
O  0.562  0.830  0.714
O  0.830  0.562  0.714

* volume: 302.2 Å³ per cell
* energy: -3.7186 eV per atom